(1)
Compound: TeRhCl2
Source: the Alexandria database
Functional: GGA-PBEsol
Structure: relaxed

Geometry as extended XYZ:
```
4
Lattice="-0.249 3.017 -0.275 -2.928 -0.310 -0.757 -2.486 0.647 9.345" Properties=species:S:1:pos:R:3 pbc="T T T"
Te -2.831 1.677 4.156
Rh -1.588 1.353 -0.516
Cl -2.111 0.549 7.934
Cl -0.376 0.098 1.412
```

Properties
total magnetic moment	1.07	μB per cell
DOS at the Fermi energy	1.229	states/eV/atom
energy relative to the elements, uncorrected	221	meV/atom
calculated volume	89.6	Å³/cell
SG	No. 123

---

(2)
Compound: ErIn5Rh
Source: the Alexandria database
Functional: GGA-PBEsol
Structure: relaxed

Geometry as extended XYZ:
```
7
Lattice="4.571 0.000 0.000 0.000 4.571 0.000 0.000 0.000 7.326" Properties=species:S:1:pos:R:3 pbc="T T T"
In 2.286 2.286 0.000
In 2.286 0.000 5.138
In 0.000 2.286 2.188
In 2.286 0.000 2.188
In 0.000 2.286 5.138
Rh 0.000 0.000 3.663
Er 0.000 0.000 0.000
```

Properties
energy of formation from the pure elements	-0.444	eV/atom
total magnetic moment	0.00	μB per cell
DOS at the Fermi energy	0.320	states/eV/atom
calculated volume	153.1	Å³/cell
SG	No. 123

---

(3)
Compound: TiBe3Se
Source: the Alexandria database
Functional: GGA-PBEsol
Structure: relaxed

Geometry as extended XYZ:
```
5
Lattice="4.213 0.000 0.000 0.000 4.213 0.000 0.000 0.000 4.213" Properties=species:S:1:pos:R:3 pbc="T T T"
Be 0.000 2.107 0.000
Be 0.000 0.000 2.107
Be 2.107 0.000 0.000
Se 0.000 0.000 0.000
Ti 2.107 2.107 2.107
```

Properties
total magnetic moment	0.80	μB per cell
DOS at the Fermi energy	0.861	states/eV/atom
energy relative to the elements, uncorrected	991	meV/atom
calculated volume	74.8	Å³/cell
SG	No. 221

---

(4)
Compound: ZrTa2Ag
Source: the Alexandria database
Functional: GGA-PBEsol
Structure: relaxed

Geometry as extended XYZ:
```
4
Lattice="-0.618 -1.123 -2.549 1.764 -1.847 1.273 -7.315 -4.420 3.722" Properties=species:S:1:pos:R:3 pbc="T T T"
Ag -1.195 -2.554 0.262
Ta -7.283 -4.401 3.706
Ta -4.982 -4.841 2.188
Zr -3.681 -2.224 1.873
```

Properties
energy of formation from the pure elements	0.077	eV/atom
total magnetic moment	0.00	μB per cell
DOS at the Fermi energy	1.119	states/eV/atom
calculated volume	72.9	Å³/cell
SG	No. 35

---

(5)
Compound: NaTaH2Ru
Source: the Alexandria database
Functional: GGA-PBEsol
Structure: relaxed

Geometry as extended XYZ:
```
5
Lattice="3.753 0.000 0.000 0.000 3.753 0.000 0.000 0.000 4.817" Properties=species:S:1:pos:R:3 pbc="T T T"
Ru 0.000 0.000 2.409
Na 1.876 1.876 2.409
H 0.000 1.876 0.000
H 1.876 0.000 0.000
Ta 0.000 0.000 0.000
```

Properties
E_tot	-5.36	eV per atom
total magnetic moment	0.00	μB per cell
DOS at the Fermi energy	0.472	states/eV/atom
calculated volume	67.8	Å³/cell
SG	No. 123

---

(6)
Compound: CeB4Rh4
Source: the Alexandria database
Functional: GGA-PBEsol
Structure: relaxed

Geometry as extended XYZ:
```
18
Lattice="-0.124 0.352 5.286 0.818 -5.223 0.367 7.321 1.153 0.095" Properties=species:S:1:pos:R:3 pbc="T T T"
Ce 0.000 0.000 0.000
Ce 4.007 -1.859 2.874
B 1.408 -2.145 4.590
B 1.490 -2.378 1.091
B 5.033 -0.979 0.183
B 5.309 -2.744 0.307
B 2.475 0.638 3.570
B 2.517 0.519 1.782
B 6.295 0.272 2.786
B 6.836 -3.184 3.029
Rh 6.637 -1.538 1.582
Rh 6.575 -1.361 4.233
Rh 3.211 -3.504 0.309
Rh 2.804 -0.900 0.126
Rh 4.691 0.832 1.387
Rh 4.629 1.007 4.022
Rh 1.613 -3.578 2.932
Rh 1.203 -0.959 2.748
```

Properties
energy of formation from the pure elements	-0.606	eV/atom
total magnetic moment	0.00	μB per cell
DOS at the Fermi energy	0.558	states/eV/atom
calculated volume	208.1	Å³/cell
SG	No. 137

---

(7)
Compound: Zr3In
Source: the Alexandria database
Functional: GGA-PBEsol
Structure: relaxed

Geometry as extended XYZ:
```
4
Lattice="-1.452 3.772 1.744 -1.914 -2.247 3.266 3.689 0.319 2.381" Properties=species:S:1:pos:R:3 pbc="T T T"
Zr 0.887 -0.964 2.824
Zr 1.118 2.046 2.063
Zr -1.683 0.763 2.505
In 0.000 0.000 0.000
```

Properties
energy of formation from the pure elements	-0.293	eV/atom
total magnetic moment	0.00	μB per cell
DOS at the Fermi energy	0.693	states/eV/atom
calculated volume	85.3	Å³/cell
SG	No. 221

---

(8)
Compound: LaTa3Se
Source: the Alexandria database
Functional: GGA-PBEsol
Structure: relaxed

Geometry as extended XYZ:
```
5
Lattice="-4.852 -0.585 0.351 -0.202 -1.176 -4.752 0.651 -4.721 1.140" Properties=species:S:1:pos:R:3 pbc="T T T"
La 0.000 0.000 0.000
Se -2.201 -3.240 -1.631
Ta -0.101 -0.588 -2.376
Ta 0.326 -2.360 0.570
Ta -2.426 -0.292 0.176
```

Properties
total magnetic moment	0.00	μB per cell
DOS at the Fermi energy	0.997	states/eV/atom
energy relative to the elements, uncorrected	2337	meV/atom
calculated volume	117.6	Å³/cell
SG	No. 221

---

(9)
Compound: ZrZnIr
Source: the Alexandria database
Functional: GGA-PBEsol
Structure: relaxed

Geometry as extended XYZ:
```
3
Lattice="3.100 0.000 0.000 0.000 3.100 0.000 -1.550 -1.550 5.047" Properties=species:S:1:pos:R:3 pbc="T T T"
Ir 0.000 0.000 0.089
Zn 1.550 1.550 1.516
Zr 0.000 0.000 3.441
```

Properties
energy of formation from the pure elements	-0.464	eV/atom
total magnetic moment	0.00	μB per cell
DOS at the Fermi energy	0.677	states/eV/atom
calculated volume	48.5	Å³/cell
SG	No. 107

---

(10)
Compound: LaNb2Co
Source: the Alexandria database
Functional: GGA-PBEsol
Structure: relaxed

Geometry as extended XYZ:
```
4
Lattice="-2.515 3.465 -1.650 -4.311 0.601 1.452 -1.037 3.567 2.693" Properties=species:S:1:pos:R:3 pbc="T T T"
Nb -1.966 1.908 0.624
Nb -5.897 5.725 1.871
Co 0.000 0.000 0.000
La -3.931 3.817 1.247
```

Properties
energy of formation from the pure elements	0.413	eV/atom
total magnetic moment	0.00	μB per cell
DOS at the Fermi energy	0.969	states/eV/atom
calculated volume	68.3	Å³/cell
SG	No. 225

---

(11)
Compound: TlAgOsI2
Source: the Alexandria database
Functional: GGA-PBEsol
Structure: relaxed

Geometry as extended XYZ:
```
5
Lattice="5.497 0.000 0.000 0.000 5.497 0.000 0.000 0.000 5.481" Properties=species:S:1:pos:R:3 pbc="T T T"
I 0.000 2.749 0.000
I 2.749 0.000 0.000
Tl 0.000 0.000 2.741
Os 2.749 2.749 2.741
Ag 0.000 0.000 0.000
```

Properties
total magnetic moment	4.02	μB per cell
DOS at the Fermi energy	0.516	states/eV/atom
energy relative to the elements, uncorrected	1477	meV/atom
calculated volume	165.7	Å³/cell
SG	No. 123

---

(12)
Compound: ZrWIO2
Source: the Alexandria database
Functional: GGA-PBEsol
Structure: relaxed

Geometry as extended XYZ:
```
5
Lattice="4.043 0.000 0.000 0.000 4.043 0.000 0.000 0.000 6.135" Properties=species:S:1:pos:R:3 pbc="T T T"
I 0.000 0.000 3.067
O 0.000 2.022 0.000
O 2.022 0.000 0.000
Zr 0.000 0.000 0.000
W 2.022 2.022 3.067
```

Properties
total magnetic moment	4.50	μB per cell
DOS at the Fermi energy	0.149	states/eV/atom
energy relative to the elements, uncorrected	-446	meV/atom
calculated volume	100.3	Å³/cell
SG	No. 123

---

(13)
Compound: BeAlNi6
Source: the Alexandria database
Functional: GGA-PBEsol
Structure: relaxed

Geometry as extended XYZ:
```
32
Lattice="5.984 -0.017 0.000 -2.032 5.629 0.000 0.000 0.000 9.795" Properties=species:S:1:pos:R:3 pbc="T T T"
Al -0.064 4.243 4.897
Al 4.017 1.369 4.897
Al 0.000 0.000 7.363
Al 0.000 0.000 2.432
Be -0.064 4.243 0.000
Be 4.017 1.369 0.000
Be 1.976 2.806 7.383
Be 1.976 2.806 2.411
Ni -0.023 4.214 7.417
Ni 3.954 3.461 8.605
Ni -0.002 2.152 8.605
Ni 3.976 1.398 7.417
Ni 2.026 0.723 8.605
Ni 1.926 4.889 8.605
Ni 1.976 2.806 4.897
Ni 0.029 2.142 6.161
Ni 2.007 0.749 6.161
Ni -0.023 4.214 2.378
Ni 3.924 3.470 3.634
Ni 0.029 2.142 3.634
Ni 3.976 1.398 2.378
Ni 2.007 0.749 3.634
Ni 1.945 4.863 3.634
Ni 1.976 2.806 0.000
Ni -0.002 2.152 1.189
Ni 2.026 0.723 1.189
Ni 0.000 0.000 4.897
Ni 1.945 4.863 6.161
Ni 3.924 3.470 6.161
Ni 0.000 0.000 0.000
Ni 1.926 4.889 1.189
Ni 3.954 3.461 1.189
```

Properties
energy of formation from the pure elements	-0.297	eV/atom
total magnetic moment	7.69	μB per cell
DOS at the Fermi energy	1.010	states/eV/atom
calculated volume	329.6	Å³/cell
SG	No. 65